Below is a relaxed Li2CeZnAg4 crystal, with properties calculated at the PBE level.

The total moment comes out at 1.1 μB per formula unit. The space-group type is R-3m, No. 166. For the formation energy, the calculation gives -0.831 eV per formula unit.

Cell lengths 9.230, 9.230, 9.230 Å; angles 28.35, 28.35, 28.35 degrees
Atoms (fractional coordinates):
Li: 0.234 0.234 0.234
Li: 0.766 0.766 0.766
Ce: 0.000 0.000 0.000
Zn: 0.500 0.500 0.500
Ag: 0.129 0.129 0.129
Ag: 0.401 0.401 0.401
Ag: 0.599 0.599 0.599
Ag: 0.871 0.871 0.871